MgTaZn2: PBEsol geometry, meta-GGA SCAN.

- N(E_F): 2.0 states/eV per cell
- Formation energy: 0.0970 eV per atom
- Magnetization: 0.0 μB/f.u.
- SG: Imm2

Lattice parameters (Å, degrees): 5.5804 5.5804 5.5804 151.39 128.70 59.79
Atoms (fractional coordinates):
1 Mg 0.0000 0.0000 0.0000
2 Ta 0.2777 0.7777 0.5000
3 Zn 0.5289 0.5289 0.0000
4 Zn 0.7534 0.2534 0.5000

***

MgTa2Zn: PBEsol geometry, meta-GGA SCAN.

- N(E_F): 3.7 states/eV per cell
- Formation energy: 0.1546 eV per atom
- Magnetization: 0.0 μB/f.u.
- SG: Pmmm

Lattice parameters (Å, degrees): 3.8534 3.9449 4.4426 90.00 90.00 90.00
Atoms (fractional coordinates):
1 Mg 0.0000 0.0000 0.0000
2 Ta 0.0000 0.5000 0.5000
3 Ta 0.5000 0.0000 0.5000
4 Zn 0.5000 0.5000 0.0000

***

MgZrTa2: PBEsol geometry, meta-GGA SCAN.

- N(E_F): 4.5 states/eV per cell
- Formation energy: 0.2309 eV per atom
- Magnetization: 0.0 μB/f.u.
- SG: Pmmm

Lattice parameters (Å, degrees): 3.8001 4.3602 4.5576 90.00 90.00 90.00
Atoms (fractional coordinates):
1 Mg 0.0000 0.0000 0.0000
2 Zr 0.5000 0.5000 0.0000
3 Ta 0.0000 0.5000 0.5000
4 Ta 0.5000 0.0000 0.5000

***

MgZr3Ta: PBEsol geometry, meta-GGA SCAN.

- N(E_F): 7.0 states/eV per cell
- Formation energy: 0.7730 eV per atom
- Magnetization: 0.0 μB/f.u.
- SG: Pm-3m

Lattice parameters (Å, degrees): 5.0924 5.0924 5.0924 90.00 90.00 90.00
Atoms (fractional coordinates):
1 Mg 0.0000 0.0000 0.0000
2 Zr 0.0000 0.5000 0.5000
3 Zr 0.5000 0.0000 0.5000
4 Zr 0.5000 0.5000 0.0000
5 Ta 0.5000 0.5000 0.5000

***

TbMg3: PBEsol geometry, meta-GGA SCAN.

- N(E_F): 1.7 states/eV per cell
- Formation energy: -0.0805 eV per atom
- Magnetization: 0.0 μB/f.u.
- SG: Fm-3m

Lattice parameters (Å, degrees): 5.1286 5.1286 5.1286 60.00 60.00 60.00
Atoms (fractional coordinates):
1 Tb 0.0000 0.0000 0.0000
2 Mg 0.2500 0.2500 0.2500
3 Mg 0.5000 0.5000 0.5000
4 Mg 0.7500 0.7500 0.7500

***

TbMg3: PBEsol geometry, meta-GGA SCAN.

- N(E_F): 6.7 states/eV per cell
- Formation energy: -0.0655 eV per atom
- Magnetization: 0.0 μB/f.u.
- SG: P6_3/mmc

Lattice parameters (Å, degrees): 6.6290 6.6290 5.1380 90.00 90.00 120.00
Atoms (fractional coordinates):
1 Tb 0.3333 0.6667 0.2500
2 Tb 0.6667 0.3333 0.7500
3 Mg 0.1637 0.3274 0.7500
4 Mg 0.1637 0.8363 0.7500
5 Mg 0.3274 0.1637 0.2500
6 Mg 0.6726 0.8363 0.7500
7 Mg 0.8363 0.1637 0.2500
8 Mg 0.8363 0.6726 0.2500

***

TbMg2: PBEsol geometry, meta-GGA SCAN.

- N(E_F): 11.8 states/eV per cell
- Formation energy: -0.0653 eV per atom
- Magnetization: 0.0 μB/f.u.
- SG: P6_3/mmc

Lattice parameters (Å, degrees): 6.0093 6.0093 9.6936 90.00 90.00 120.00
Atoms (fractional coordinates):
1 Tb 0.3333 0.6667 0.0643
2 Tb 0.3333 0.6667 0.4357
3 Tb 0.6667 0.3333 0.5643
4 Tb 0.6667 0.3333 0.9357
5 Mg 0.0000 0.0000 0.0000
6 Mg 0.0000 0.0000 0.5000
7 Mg 0.1710 0.3421 0.7500
8 Mg 0.1710 0.8290 0.7500
9 Mg 0.3421 0.1710 0.2500
10 Mg 0.6579 0.8290 0.7500
11 Mg 0.8290 0.1710 0.2500
12 Mg 0.8290 0.6579 0.2500

***

TbMgTl2: PBEsol geometry, meta-GGA SCAN.

- N(E_F): 1.6 states/eV per cell
- Formation energy: -0.3871 eV per atom
- Magnetization: 0.0 μB/f.u.
- SG: Fm-3m

Lattice parameters (Å, degrees): 5.1917 5.1917 5.1917 60.00 60.00 60.00
Atoms (fractional coordinates):
1 Tb 0.0000 0.0000 0.0000
2 Mg 0.5000 0.5000 0.5000
3 Tl 0.2500 0.2500 0.2500
4 Tl 0.7500 0.7500 0.7500